Record 1
# SiIr2Os (PBE, optimized geometry)
data_SiIr2Os
_chemical_formula_sum 'Si2 Ir4 Os2'
_cell_length_a 2.749
_cell_length_b 4.814
_cell_length_c 8.747
_cell_angle_alpha 90.00
_cell_angle_beta 90.00
_cell_angle_gamma 90.00
_space_group_name_H-M_alt 'C m m m'
_space_group_IT_number 65
_space_group_name_Hall '-C 2 2'
loop_
_atom_site_label
_atom_site_type_symbol
_atom_site_fract_x
_atom_site_fract_y
_atom_site_fract_z
_atom_site_occupancy
Si1 Si 0.000 0.000 0.000 1
Ir1 Ir 0.000 0.500 0.224 1
Os1 Os 0.000 0.000 0.500 1
# - Theoretical density: 17.3 g/cm3
# - Calculated volume: 14.5 Å³ per atom
# - Total energy: -8.38 eV per atom
# - Spin magnetization: 0.0 μB per formula unit


Record 2
# Si2IrOs (PBE, optimized geometry)
data_Si2IrOs
_chemical_formula_sum 'Si4 Ir2 Os2'
_cell_length_a 8.678
_cell_length_b 2.940
_cell_length_c 4.342
_cell_angle_alpha 90.00
_cell_angle_beta 104.55
_cell_angle_gamma 90.00
_space_group_name_H-M_alt 'C 1 m 1'
_space_group_IT_number 8
_space_group_name_Hall 'C -2y'
loop_
_atom_site_label
_atom_site_type_symbol
_atom_site_fract_x
_atom_site_fract_y
_atom_site_fract_z
_atom_site_occupancy
Si1 Si 0.000 0.000 0.000 1
Si2 Si 0.250 0.000 0.643 1
Ir1 Ir 0.243 0.500 0.126 1
Os1 Os 0.012 0.500 0.531 1
# - Theoretical density: 13.6 g/cm3
# - Calculated volume: 13.4 Å³ per atom
# - Total energy: -8.17 eV per atom
# - Spin magnetization: 0.0 μB per formula unit


- Number 1 is which compound?
  SiIr2Os


What did the second record say?
# Si2IrOs (PBE, optimized geometry)
data_Si2IrOs
_chemical_formula_sum 'Si4 Ir2 Os2'
_cell_length_a 8.678
_cell_length_b 2.940
_cell_length_c 4.342
_cell_angle_alpha 90.00
_cell_angle_beta 104.55
_cell_angle_gamma 90.00
_space_group_name_H-M_alt 'C 1 m 1'
_space_group_IT_number 8
_space_group_name_Hall 'C -2y'
loop_
_atom_site_label
_atom_site_type_symbol
_atom_site_fract_x
_atom_site_fract_y
_atom_site_fract_z
_atom_site_occupancy
Si1 Si 0.000 0.000 0.000 1
Si2 Si 0.250 0.000 0.643 1
Ir1 Ir 0.243 0.500 0.126 1
Os1 Os 0.012 0.500 0.531 1
# - Theoretical density: 13.6 g/cm3
# - Calculated volume: 13.4 Å³ per atom
# - Total energy: -8.17 eV per atom
# - Spin magnetization: 0.0 μB per formula unit